(1)
Below is LaCdAg at its PBEsol-relaxed geometry, with properties calculated at the SCAN level.

## Properties
space-group type: I4mm, No. 107
DOS(E_F): 2.18 states/eV per cell
magnetic moment: 0.00 μB/cell
final energy: -35.23 eV/atom

Lattice parameters (Å, degrees): 3.6431 3.6434 6.0196 107.62 107.61 90.00
Atoms (fractional coordinates):
Cd  0.6426  0.6426  0.2852
Ag  0.0217  0.0217  0.0434
La  0.3357  0.3357  0.6714



(2)
Below is Li3Pt at its PBEsol-relaxed geometry, with properties calculated at the SCAN level.

## Properties
space-group type: Pmmn, No. 59
DOS(E_F): 2.72 states/eV per cell
magnetic moment: 0.00 μB/cell
energy relative to the lowest polymorph listed for this composition: 0.001 eV per atom
final energy: -19.83 eV/atom

Lattice parameters (Å, degrees): 4.3808 4.5595 5.4549 90.00 90.00 90.00
Atoms (fractional coordinates):
Li  0.0000  0.1865  0.2487
Li  0.0000  0.1865  0.7513
Li  0.0000  0.6607  0.5000
Li  0.5000  0.3393  0.0000
Li  0.5000  0.8135  0.2513
Li  0.5000  0.8135  0.7487
Pt  0.5000  0.3094  0.5000
Pt  0.0000  0.6906  0.0000



(3)
Below is Er2PdPt at its PBEsol-relaxed geometry, with properties calculated at the SCAN level.

## Properties
space-group type: Fm-3m, No. 225
DOS(E_F): 1.69 states/eV per cell
magnetic moment: 0.00 μB/cell
final energy: -52.19 eV/atom

Lattice parameters (Å, degrees): 4.8246 4.8246 4.8246 60.00 60.00 60.00
Atoms (fractional coordinates):
Er  0.7500  0.7500  0.7500
Er  0.2500  0.2500  0.2500
Pt  0.5000  0.5000  0.5000
Pd  0.0000  0.0000  0.0000



> What is the formula in the second record?

Li3Pt